# PBE-GGA KNiH4, relaxed
# Uncorrected energy, eV/atom: -3.1402
# Mass density, kg/m³: 3181
data_KNiH4
_chemical_formula_sum 'K4 Ni4 H16'
_cell_length_a 5.2804
_cell_length_b 5.2804
_cell_length_c 7.6248
_cell_angle_alpha 90.00
_cell_angle_beta 90.00
_cell_angle_gamma 90.00
_space_group_name_H-M_alt 'I 41/a'
_space_group_IT_number 88
loop_
_space_group_symop_operation_xyz
'x,y,z'
'-x,-y,-z'
'-y+3/4,x+1/4,z+1/4'
'y+3/4,-x+1/4,-z+1/4'
'-x+1/2,-y,z+1/2'
'x+1/2,y,-z+1/2'
'y+3/4,-x+3/4,z+3/4'
'-y+3/4,x+3/4,-z+3/4'
'x+1/2,y+1/2,z+1/2'
'-x+1/2,-y+1/2,-z+1/2'
'-y+1/4,x+3/4,z+3/4'
'y+1/4,-x+3/4,-z+3/4'
'-x,-y+1/2,z'
'x,y+1/2,-z'
'y+1/4,-x+1/4,z+1/4'
'-y+1/4,x+1/4,-z+1/4'
loop_
_atom_site_label
_atom_site_fract_x
_atom_site_fract_y
_atom_site_fract_z
K1 0.0000 0.2500 0.1250
Ni1 0.0000 0.2500 0.6250
H1 0.1163 0.4807 0.4448